Below is a relaxed SbAu3 crystal, with properties calculated at the GGA-PBEsol level.

Cell: 4.758 6.049 6.049 Å, 120.00 90.00 90.00°
Element x y z (fractional)
1 Sb 0.250 0.333 0.667
2 Sb 0.750 0.667 0.333
3 Au 0.750 0.162 0.325
4 Au 0.250 0.838 0.162
5 Au 0.750 0.675 0.838
6 Au 0.750 0.162 0.838
7 Au 0.250 0.325 0.162
8 Au 0.250 0.838 0.675

Values from the calculation:
Uncorrected formation energy   0.040 eV/atom
Magnetic moment   0.00 μB per formula unit

=====

Below is a relaxed SbAu3 crystal, with properties calculated at the GGA-PBEsol level.

Cell: 3.578 4.697 5.399 Å, 115.78 109.35 90.00°
Element x y z (fractional)
1 Au 0.500 0.859 0.000
2 Au 0.759 0.728 0.518
3 Au 0.241 0.210 0.482
4 Sb 0.000 0.371 0.000

Values from the calculation:
Uncorrected formation energy   0.057 eV/atom
Magnetic moment   0.00 μB per formula unit

=====

Below is a relaxed Sb5Au3 crystal, with properties calculated at the GGA-PBEsol level.

Cell: 4.267 6.719 6.719 Å, 105.58 90.00 90.00°
Element x y z (fractional)
1 Sb 0.000 0.000 0.500
2 Sb 0.500 0.731 0.731
3 Sb 0.500 0.269 0.269
4 Sb 0.000 0.000 0.000
5 Sb 0.000 0.500 0.000
6 Au 0.500 0.291 0.709
7 Au 0.000 0.500 0.500
8 Au 0.500 0.709 0.291

Values from the calculation:
Uncorrected formation energy   0.156 eV/atom
Magnetic moment   0.00 μB per formula unit